14
Lattice="8.393 0.000 0.000 0.000 8.393 0.000 0.000 0.000 8.393" Properties=species:S:1:pos:R:3 comment="SrLi3Ca3, relaxed, DFT GGA-PBE" delta_e_f_mev_per_atom=465 spacegroup="Pm-3n (223)" pbc="T T T"
Sr 0.000 0.000 0.000
Sr 4.197 4.197 4.197
Li 0.000 2.098 4.197
Li 0.000 6.295 4.197
Li 2.098 4.197 0.000
Li 4.197 0.000 2.098
Li 4.197 0.000 6.295
Li 6.295 4.197 0.000
Ca 0.000 4.197 2.098
Ca 0.000 4.197 6.295
Ca 2.098 0.000 4.197
Ca 4.197 2.098 0.000
Ca 4.197 6.295 0.000
Ca 6.295 0.000 4.197

=====

2
Lattice="0.000 2.432 2.432 2.432 0.000 2.432 2.432 2.432 0.000" Properties=species:S:1:pos:R:3 comment="CoOs, relaxed, DFT GGA-PBE" delta_e_f_mev_per_atom=1289 spacegroup="Fm-3m (225)" pbc="T T T"
Co 0.000 0.000 0.000
Os 2.432 2.432 2.432

=====

4
Lattice="1.548 0.894 9.598 -1.548 0.894 9.598 0.000 -1.787 9.598" Properties=species:S:1:pos:R:3 comment="CuAg2Te, relaxed, DFT GGA-PBE" spacegroup="R-3m (166)" e_form_raw_ev_per_atom=0.263 pbc="T T T"
Cu 0.000 0.000 0.000
Ag 0.000 0.000 7.598
Ag 0.000 0.000 21.196
Te 0.000 0.000 14.397

=====

4
Lattice="3.716 0.000 0.000 0.000 4.603 0.000 -1.824 0.000 6.178" Properties=species:S:1:pos:R:3 comment="ThAg, relaxed, DFT GGA-PBE" delta_e_f_mev_per_atom=-49 spacegroup="P2_1/m (11)" pbc="T T T"
Th 0.011 1.151 1.969
Th 1.881 3.452 4.209
Ag 0.029 1.151 5.336
Ag 1.863 3.452 0.842

=====

6
Lattice="5.295 0.000 0.000 0.000 3.132 0.000 -2.534 0.000 5.389" Properties=species:S:1:pos:R:3 comment="SiAsPRh2C, relaxed, DFT GGA-PBE" spacegroup="Pm (6)" e_form_raw_ev_per_atom=-0.057 pbc="T T T"
Si 0.000 0.000 0.000
As 1.617 0.000 1.829
P -0.999 0.000 3.696
Rh 0.737 1.566 3.645
Rh 3.514 1.566 2.055
C 4.359 1.566 0.086

=====

9
Lattice="8.428 -6.979 0.000 8.428 6.979 0.000 -1.155 0.000 5.321" Properties=species:S:1:pos:R:3 comment="Cs2Rb4ZnAs2, relaxed, DFT GGA-PBE" delta_e_f_mev_per_atom=-249 spacegroup="C2/m (12)" pbc="T T T"
Cs 2.091 0.000 2.103
Cs 13.610 0.000 3.219
Rb 5.109 2.118 5.291
Rb 10.591 2.118 0.030
Rb 5.109 -2.118 5.291
Rb 10.591 -2.118 0.030
Zn 7.850 0.000 2.661
As 5.506 0.000 2.581
As 10.195 0.000 2.740

=====

12
Lattice="3.093 -5.362 0.000 3.093 5.362 0.000 -2.075 0.000 11.598" Properties=species:S:1:pos:R:3 comment="Tb6Nd3Dy2Mg, relaxed, DFT GGA-PBE" delta_e_f_mev_per_atom=31 spacegroup="C2/m (12)" pbc="T T T"
Tb 1.020 1.781 2.837
Tb -0.010 0.000 8.750
Tb 1.020 -1.781 2.837
Tb 3.092 1.781 8.761
Tb 4.122 0.000 2.848
Tb 3.092 -1.781 8.761
Nd 2.056 3.582 5.799
Nd 2.056 0.000 5.799
Nd 2.056 -3.582 5.799
Dy 3.093 1.785 0.000
Dy 3.093 -1.785 0.000
Mg 0.000 0.000 0.000

=====

12
Lattice="5.685 0.000 0.000 -2.842 4.923 0.000 0.000 0.000 8.010" Properties=species:S:1:pos:R:3 comment="KCaSe2O8, relaxed, DFT GGA-PBE" spacegroup="P-3 (147)" e_form_raw_ev_per_atom=-1.232 pbc="T T T"
K 0.000 0.000 0.000
Ca 0.000 0.000 4.005
Se 0.000 3.282 6.044
Se 2.842 1.641 1.966
O -0.340 1.734 5.527
O -1.170 4.351 5.527
O 0.000 3.282 7.723
O 1.332 1.162 2.483
O 1.511 3.761 5.527
O 2.842 1.641 0.287
O 4.013 0.572 2.483
O 3.183 3.189 2.483

=====

8
Lattice="-3.784 3.784 3.139 3.784 -3.784 3.139 3.784 3.784 -3.139" Properties=species:S:1:pos:R:3 comment="Y2FeAg, relaxed, DFT GGA-PBE" delta_e_f_mev_per_atom=329 spacegroup="I-42d (122)" pbc="T T T"
Y 5.676 1.586 -0.785
Y 1.586 1.892 0.785
Y -1.892 2.198 2.354
Y 2.198 1.892 3.924
Fe 0.000 0.000 0.000
Fe 0.000 3.784 1.570
Ag 3.784 0.000 1.570
Ag 0.000 0.000 3.139

=====

14
Lattice="1.824 -6.030 0.000 1.824 6.030 0.000 0.000 0.000 13.033" Properties=species:S:1:pos:R:3 comment="MgTi2Se4, relaxed, DFT GGA-PBE" spacegroup="Cmcm (63)" e_form_raw_ev_per_atom=-1.056 pbc="T T T"
Mg 1.824 4.649 9.775
Mg 1.824 -4.649 3.258
Ti 1.824 1.568 7.339
Ti 1.824 1.568 12.211
Ti 1.824 -1.568 0.822
Ti 1.824 -1.568 5.694
Se 0.000 0.000 0.000
Se 0.000 0.000 6.517
Se 1.824 2.713 1.532
Se 1.824 2.713 4.984
Se 1.824 0.544 9.775
Se 1.824 -0.544 3.258
Se 1.824 -2.713 8.049
Se 1.824 -2.713 11.501

=====

4
Lattice="4.324 0.000 0.000 0.000 4.324 0.000 0.000 0.000 6.100" Properties=species:S:1:pos:R:3 comment="La2RuBr, relaxed, DFT GGA-PBE" spacegroup="P4mm (99)" e_form_raw_ev_per_atom=-0.772 pbc="T T T"
La 0.000 0.000 0.000
La 2.162 2.162 2.653
Ru 0.000 0.000 2.364
Br 2.162 2.162 5.679

=====

4
Lattice="0.000 3.136 3.136 3.136 0.000 3.136 3.136 3.136 0.000" Properties=species:S:1:pos:R:3 comment="CoPd2Cl, relaxed, DFT GGA-PBE" spacegroup="Fm-3m (225)" e_form_raw_ev_per_atom=0.472 pbc="T T T"
Co 0.000 0.000 0.000
Pd 1.568 1.568 1.568
Pd 4.704 4.704 4.704
Cl 3.136 3.136 3.136

=====

5
Lattice="5.723 0.000 0.000 0.000 5.723 0.000 0.000 0.000 5.067" Properties=species:S:1:pos:R:3 comment="La2NbAuI, relaxed, DFT GGA-PBE" spacegroup="P4/mmm (123)" e_form_raw_ev_per_atom=0.016 pbc="T T T"
La 0.000 2.862 0.000
La 2.862 0.000 0.000
Nb 0.000 0.000 0.000
Au 0.000 0.000 2.534
I 2.862 2.862 2.534

=====

16
Lattice="7.626 -4.405 0.000 7.626 4.405 0.000 -5.101 0.000 7.941" Properties=species:S:1:pos:R:3 comment="Ac8Ir3AuCl4, relaxed, DFT GGA-PBE" spacegroup="C2/m (12)" e_form_raw_ev_per_atom=-1.260 pbc="T T T"
Ac 3.756 2.288 5.590
Ac -0.008 0.000 5.577
Ac 2.434 0.000 2.351
Ac 6.395 2.288 2.351
Ac 3.756 -2.288 5.590
Ac 7.716 0.000 5.590
Ac 10.158 0.000 2.364
Ac 6.395 -2.288 2.351
Ir -2.550 0.000 3.971
Ir 1.262 2.202 3.971
Ir 1.262 -2.202 3.971
Au 5.075 0.000 3.971
Cl 0.000 0.000 0.000
Cl 3.813 2.202 0.000
Cl 3.813 -2.202 0.000
Cl 7.626 0.000 0.000

=====

4
Lattice="4.263 0.000 0.000 0.000 4.263 0.000 0.000 0.000 4.424" Properties=species:S:1:pos:R:3 comment="SrHgRu2, relaxed, DFT GGA-PBE" delta_e_f_mev_per_atom=684 spacegroup="P4/mmm (123)" pbc="T T T"
Sr 0.000 0.000 0.000
Hg 2.132 2.132 0.000
Ru 0.000 2.132 2.212
Ru 2.132 0.000 2.212

=====

4
Lattice="6.439 -1.752 0.000 6.439 1.752 0.000 -1.984 0.000 4.668" Properties=species:S:1:pos:R:3 comment="Ca2RhPb, relaxed, DFT GGA-PBE" delta_e_f_mev_per_atom=-356 spacegroup="Cm (8)" pbc="T T T"
Ca 0.000 0.000 0.000
Ca 1.210 0.000 3.275
Rh 5.383 0.000 2.311
Pb 9.824 0.000 1.443

=====

8
Lattice="2.596 1.499 8.721 -2.596 1.499 8.721 0.000 -2.998 8.721" Properties=species:S:1:pos:R:3 comment="Nd3Mg3Zn2, relaxed, DFT GGA-PBE" delta_e_f_mev_per_atom=-153 spacegroup="R3m (160)" pbc="T T T"
Nd 0.000 0.000 0.000
Nd 0.000 0.000 6.362
Nd 0.000 0.000 12.806
Mg 0.000 0.000 3.097
Mg 0.000 0.000 16.263
Mg 0.000 0.000 19.488
Zn 0.000 0.000 9.651
Zn 0.000 0.000 22.687

=====

4
Lattice="2.792 0.000 0.000 0.000 4.032 0.000 0.000 0.000 8.166" Properties=species:S:1:pos:R:3 comment="HgAuSe2, relaxed, DFT GGA-PBE" spacegroup="Pmmm (47)" e_form_raw_ev_per_atom=0.309 pbc="T T T"
Hg 0.000 0.000 0.000
Au 0.000 0.000 4.083
Se 1.396 2.016 2.374
Se 1.396 2.016 5.792

=====

5
Lattice="4.916 0.000 0.000 0.000 4.916 0.000 0.000 0.000 5.017" Properties=species:S:1:pos:R:3 comment="MgAsPSe2, relaxed, DFT GGA-PBE" spacegroup="P4/mmm (123)" e_form_raw_ev_per_atom=0.774 pbc="T T T"
Mg 0.000 0.000 0.000
As 0.000 0.000 2.508
P 2.458 2.458 2.508
Se 0.000 2.458 0.000
Se 2.458 0.000 0.000

=====

4
Lattice="3.997 0.000 0.000 0.000 3.997 0.000 0.000 0.000 4.141" Properties=species:S:1:pos:R:3 comment="InTcPt2, relaxed, DFT GGA-PBE" delta_e_f_mev_per_atom=-33 spacegroup="P4/mmm (123)" pbc="T T T"
In 0.000 0.000 0.000
Tc 1.998 1.998 0.000
Pt 0.000 1.998 2.070
Pt 1.998 0.000 2.070

=====

8
Lattice="3.467 -4.294 0.000 3.467 4.294 0.000 0.000 0.000 4.874" Properties=species:S:1:pos:R:3 comment="As3C, relaxed, DFT GGA-PBE" delta_e_f_mev_per_atom=784 spacegroup="Cmcm (63)" pbc="T T T"
As 1.574 0.470 3.656
As 3.467 2.187 3.656
As 1.574 -0.470 1.219
As 5.361 0.470 3.656
As 3.467 -2.187 1.219
As 5.361 -0.470 1.219
C 3.467 2.632 1.219
C 3.467 -2.632 3.656

=====

11
Lattice="5.653 -5.826 0.000 5.653 5.826 0.000 -2.467 0.000 5.598" Properties=species:S:1:pos:R:3 comment="Pr2Sm2Dy7, relaxed, DFT GGA-PBE" delta_e_f_mev_per_atom=148 spacegroup="C2/m (12)" pbc="T T T"
Pr 0.328 0.000 1.737
Pr 8.511 0.000 3.861
Sm 5.653 2.472 0.000
Sm 5.653 -2.472 0.000
Dy 2.895 2.776 1.811
Dy 0.763 0.000 5.167
Dy 5.943 2.776 3.787
Dy 4.419 0.000 2.799
Dy 2.895 -2.776 1.811
Dy 8.076 0.000 0.431
Dy 5.943 -2.776 3.787

=====

8
Lattice="-2.350 2.350 9.311 2.350 -2.350 9.311 2.350 2.350 -9.311" Properties=species:S:1:pos:R:3 comment="PuBi2Pd, relaxed, DFT GGA-PBE" delta_e_f_mev_per_atom=-394 spacegroup="I4/mmm (139)" pbc="T T T"
Pu 0.000 0.000 2.406
Pu 0.000 0.000 16.215
Bi 2.350 0.000 0.000
Bi 0.000 0.000 6.264
Bi 0.000 2.350 0.000
Bi 0.000 0.000 12.357
Pd 2.350 0.000 4.655
Pd 0.000 2.350 4.655

=====

11
Lattice="2.010 -5.997 0.000 2.010 5.997 0.000 0.000 0.000 5.725" Properties=species:S:1:pos:R:3 comment="Zn5Ni6, relaxed, DFT GGA-PBE" delta_e_f_mev_per_atom=-99 spacegroup="Cmmm (65)" pbc="T T T"
Zn 0.000 0.000 0.000
Zn 2.010 2.028 0.000
Zn 2.010 2.014 2.863
Zn 2.010 -2.014 2.863
Zn 2.010 -2.028 0.000
Ni 2.010 4.087 1.487
Ni 2.010 4.087 4.239
Ni 2.010 0.000 1.508
Ni 2.010 0.000 4.217
Ni 2.010 -4.087 1.487
Ni 2.010 -4.087 4.239

=====

12
Lattice="6.584 0.000 0.000 0.000 9.105 0.000 -0.022 0.000 6.788" Properties=species:S:1:pos:R:3 comment="Sr2TlSbCl8, relaxed, DFT GGA-PBE" spacegroup="P2/m (10)" e_form_raw_ev_per_atom=-1.662 pbc="T T T"
Sr 0.000 2.276 0.000
Sr 0.000 6.829 0.000
Tl 3.281 0.000 3.394
Sb 3.281 4.553 3.394
Cl 1.473 0.000 0.915
Cl 1.602 4.553 1.215
Cl 1.763 2.651 4.484
Cl 1.763 6.454 4.484
Cl 4.800 2.651 2.305
Cl 4.800 6.454 2.305
Cl 4.960 4.553 5.573
Cl 5.089 0.000 5.873